Material: Sr5Si3
Method: DFT, PBE
State: relaxed

a b c (Å): 8.0608 8.0608 15.8864
angles (deg): 90.00 90.00 90.00
Last column: nearest neighbours and their distance in Å.
Space group I4/mcm (No. 140)
One atom of each set of equivalent atoms:
Sr: 0.0000 0.0000 0.0000 [4 per cell]  4 Si 3.28
Sr: 0.1795 0.3204 0.1415 [16 per cell]  5 Si 3.28-3.43
Si: 0.0000 0.0000 0.2500 [4 per cell]  8 Sr 3.43
Si: 0.1077 0.3923 0.5000 [8 per cell]  1 Si 2.46

The calculation puts the uncorrected formation energy at -0.398 eV/atom.

***

Material: NdCuI2
Method: DFT, PBE
State: relaxed

a b c (Å): 4.0687 4.0687 28.0927
angles (deg): 90.00 90.00 120.00
Last column: nearest neighbours and their distance in Å.
Space group R-3m (No. 166, hexagonal axes)
One atom of each set of equivalent atoms:
Nd: 0.0000 0.0000 0.0000 [3 per cell]  2 I 3.10
Cu: 0.0000 0.0000 0.5000 [3 per cell]  6 I 2.83
I: 0.0000 0.0000 0.1102 [6 per cell]  3 Cu 2.83, 1 Nd 3.10

The calculation puts the uncorrected formation energy at -0.215 eV/atom.

***

Material: PmZrHg
Method: DFT, PBE
State: relaxed

a b c (Å): 3.4487 5.3311 8.6093
angles (deg): 90.00 100.92 90.00
Last column: nearest neighbours and their distance in Å.
Space group P2_1/m (No. 11)
One atom of each set of equivalent atoms:
Pm: 0.0877 0.2500 0.1964 [2 per cell]  6 Hg 3.21-3.27, 4 Zr 3.41-3.44, 2 Pm 3.45
Zr: 0.2382 0.7500 0.4534 [2 per cell]  2 Hg 3.18-3.26, 6 Zr 3.23-3.45, 4 Pm 3.41-3.44
Hg: 0.4372 0.2500 0.8683 [2 per cell]  2 Zr 3.18-3.26, 6 Pm 3.21-3.27, 4 Hg 3.45-3.47

Its formation energy is -56 kJ/mol of formula units.